DyErGaHg | PBE | optimized geometry

```
DyErGaHg
1.0
-2.9137 -0.6448 -2.0246
1.3930 -3.1743 -0.9939
-3.2833 -3.2438 5.7584
Hg Ga Er Dy
1 1 1 1
direct
0.5000 0.5000 0.1118 Hg
0.5000 0.5000 0.6036 Ga
0.0000 0.0000 0.3698 Er
0.0000 0.0000 0.8428 Dy
```

Computed properties:
Total magnetic moment: 0.00 μB per cell
Symmetry: No. 99
ρ: 10.38 g/cm3
Calculated formation energy: -2.12 eV per formula unit

---

Dy2Er2InGa4 | PBE | optimized geometry

```
Dy2Er2InGa4
1.0
6.7655 0.0961 0.1386
-3.1633 5.9812 -0.1386
-3.1633 -2.2312 5.5512
In Ga Dy Er
1 4 2 2
direct
0.0000 0.0000 0.0000 In
0.0000 0.7381 0.2619 Ga
0.4762 0.7381 0.7381 Ga
0.5238 0.2619 0.2619 Ga
0.0000 0.2619 0.7381 Ga
0.0000 0.3147 0.3147 Dy
0.0000 0.6853 0.6853 Dy
0.5000 0.2500 0.7500 Er
0.5000 0.7500 0.2500 Er
```

Computed properties:
Total magnetic moment: 0.00 μB per cell
Symmetry: No. 139
ρ: 7.68 g/cm3
Calculated formation energy: -1.23 eV per formula unit

---

LiDyErGa | PBE | optimized geometry

```
LiDyErGa
1.0
5.0700 0.0000 0.0000
2.5350 4.3907 0.0000
2.5350 1.4636 4.1396
Dy Er Li Ga
1 1 1 1
direct
0.0000 0.0000 0.0000 Dy
0.5000 0.5000 0.5000 Er
0.7500 0.7500 0.7500 Li
0.2500 0.2500 0.2500 Ga
```

Computed properties:
Total magnetic moment: 0.00 μB per cell
Symmetry: No. 216
ρ: 7.32 g/cm3
Calculated formation energy: -1.26 eV per formula unit

---

Li2Dy2ErGa2 | PBE | optimized geometry

```
Li2Dy2ErGa2
1.0
-4.2770 0.5881 -1.5096
-1.6948 -2.7820 -3.2102
-4.9367 -6.1381 4.6676
Ga Dy Li Er
2 2 2 1
direct
0.2629 0.2629 0.2114 Ga
0.7371 0.7371 0.7886 Ga
0.1256 0.1256 0.6232 Dy
0.8744 0.8744 0.3768 Dy
0.3947 0.3947 0.8160 Li
0.6053 0.6053 0.1840 Li
0.0000 0.0000 0.0000 Er
```

Computed properties:
Total magnetic moment: 0.00 μB per cell
Symmetry: No. 166
ρ: 6.75 g/cm3
Calculated formation energy: -1.93 eV per formula unit